1.
A plane-wave DFT calculation with GGA-PBE was carried out for an optimized crystal structure of NdAl2IO8.

* space-group type: No. 12
* raw total energy: -6.375 eV/atom
* total moment: 0.00 μB per formula unit

a b c (Å): 4.7151 4.7158 6.8349
angles (deg): 81.38 81.38 79.78
With the nearest neighbours (Å) after each atom.
Fractional positions:
Al1 0.5513 0.5513 0.2848  5 O 1.83-1.93
O1 0.2066 0.7747 0.2108  1 Al 1.87, 1 I 1.94
Nd1 0.0000 0.0000 0.5000  6 O 2.38-2.41
O2 0.7402 0.7409 0.0484  1 I 1.84, 1 Al 1.90
O3 0.2248 0.7929 0.7893  1 Al 1.87, 1 I 1.94
I1 0.0000 0.0000 0.0000  6 O 1.84-1.94
Al2 0.4487 0.4487 0.7152  5 O 1.83-1.93
O4 0.6664 0.6669 0.5007  2 Al 1.83-1.93
O5 0.7752 0.2071 0.2107  1 Al 1.87, 1 I 1.94
O6 0.3336 0.3331 0.4993  2 Al 1.83-1.93
O7 0.2598 0.2591 0.9516  1 I 1.84, 1 Al 1.90
O8 0.7934 0.2253 0.7892  1 Al 1.87, 1 I 1.94

=====

2.
A plane-wave DFT calculation with GGA-PBE was carried out for an optimized crystal structure of Nd4AlSeI2.

* space-group type: No. 10
* raw total energy: -4.675 eV/atom
* total moment: 0.00 μB per formula unit

a b c (Å): 4.3909 7.4801 8.1323
angles (deg): 108.63 90.00 90.00
With the nearest neighbours (Å) after each atom.
Fractional positions:
Nd1 0.0000 0.7352 0.1991  1 Al 2.93, 2 Se 2.95
I1 0.5000 0.0000 0.5000  6 Nd 3.39-3.41
Nd2 0.5000 0.7652 0.7946  2 Al 2.97, 1 Se 2.97
Se1 0.5000 0.5000 0.0000  6 Nd 2.95-2.97
Nd3 0.5000 0.2348 0.2054  2 Al 2.97, 1 Se 2.97
I2 0.0000 0.5000 0.5000  6 Nd 3.39-3.44
Nd4 0.0000 0.2648 0.8009  1 Al 2.93, 2 Se 2.95
Al1 0.0000 0.0000 0.0000  6 Nd 2.93-2.97

=====

3.
A plane-wave DFT calculation with GGA-PBE was carried out for an optimized crystal structure of Nd4AlTe2I.

* space-group type: No. 10
* raw total energy: -4.840 eV/atom
* total moment: 0.00 μB per formula unit

a b c (Å): 4.3993 7.9284 7.7682
angles (deg): 108.37 90.00 90.00
With the nearest neighbours (Å) after each atom.
Fractional positions:
Te1 0.5000 0.0000 0.5000  6 Nd 3.28-3.34
Nd1 0.5000 0.7245 0.7493  1 Al 3.02, 3 Te 3.10-3.34, 2 I 3.27
Te2 0.0000 0.5000 0.5000  6 Nd 3.10-3.13
Nd2 0.0000 0.7308 0.2395  2 Al 3.08, 3 Te 3.13-3.28, 1 I 3.24
I1 0.0000 0.0000 0.0000  6 Nd 3.24-3.27
Al1 0.5000 0.5000 0.0000  6 Nd 3.02-3.08
Nd3 0.0000 0.2692 0.7605  2 Al 3.08, 3 Te 3.13-3.28, 1 I 3.24
Nd4 0.5000 0.2755 0.2507  1 Al 3.02, 3 Te 3.10-3.34, 2 I 3.27

=====

Computed E_form (uncorrected), in the same sequence as the records: -1.920; -1.001; -1.009 eV per atom.